# Tb8Y3Tm4 | the Alexandria database | GGA-PBE | optimized geometry
# M_tot: 0.00 μB per cell
# Total DFT energy (no corrections): -137.195 eV per cell
# Formation enthalpy at 0 K: 0.382 eV/atom
data_Tb8Y3Tm4
_space_group_name_H-M_alt 'C 1 2/m 1'
_space_group_IT_number 12
_space_group_name_Hall '-C 2y'
_cell_length_a 13.436
_cell_length_b 12.046
_cell_length_c 6.780
_cell_angle_alpha 90.00
_cell_angle_beta 116.94
_cell_angle_gamma 90.00
loop_
_atom_site_label
_atom_site_type_symbol
_atom_site_fract_x
_atom_site_fract_y
_atom_site_fract_z
Tb1 Tb 0.000 0.202 0.000
Tb2 Tb 0.000 0.253 0.500
Tb3 Tb 0.201 0.000 0.167
Tb4 Tb 0.243 0.500 0.298
Y1 Y 0.000 0.000 0.500
Y2 Y 0.250 0.250 0.000
Tm1 Tm 0.000 0.500 0.000
Tm2 Tm 0.000 0.500 0.500
Tm3 Tm 0.250 0.250 0.500



# Ca3Cu2Pt7 | the Alexandria database | GGA-PBE | optimized geometry
# M_tot: 0.00 μB per cell
# Total DFT energy (no corrections): -195.982 eV per cell
# Formation enthalpy at 0 K: -0.737 eV/atom
data_Ca3Cu2Pt7
_space_group_name_H-M_alt 'R -3 m'
_space_group_IT_number 166
_space_group_name_Hall '-R 3 2"'
_cell_length_a 5.4440
_cell_length_b 5.4440
_cell_length_c 25.6754
_cell_angle_alpha 90.00
_cell_angle_beta 90.00
_cell_angle_gamma 120.00
loop_
_atom_site_label
_atom_site_type_symbol
_atom_site_fract_x
_atom_site_fract_y
_atom_site_fract_z
Ca1 Ca 0.0000 0.0000 0.0000
Ca2 Ca 0.0000 0.0000 0.1406
Cu1 Cu 0.0000 0.0000 0.3334
Pt1 Pt 0.0000 0.0000 0.5000
Pt2 Pt 0.0032 0.5016 0.9190



# Pr3GaFe | the Alexandria database | GGA-PBE | optimized geometry
# M_tot: 0.37 μB per cell
# Total DFT energy (no corrections): -25.530 eV per cell
# Formation enthalpy at 0 K: 0.060 eV/atom
data_Pr3GaFe
_space_group_name_H-M_alt 'P m -3 m'
_space_group_IT_number 221
_space_group_name_Hall '-P 4 2 3'
_cell_length_a 5.225
_cell_length_b 5.225
_cell_length_c 5.225
_cell_angle_alpha 90.00
_cell_angle_beta 90.00
_cell_angle_gamma 90.00
loop_
_atom_site_label
_atom_site_type_symbol
_atom_site_fract_x
_atom_site_fract_y
_atom_site_fract_z
Pr1 Pr 0.000 0.000 0.500
Ga1 Ga 0.500 0.500 0.500
Fe1 Fe 0.000 0.000 0.000